Below is crystalline Sc3Ta at its relaxed geometry, with properties calculated at the GGA-PBEsol level.

Fermi-level density of states   1.23 states/eV/atom
Total DFT energy (no corrections)   -7.91 eV per atom
E above lowest polymorph   61.7 meV/atom
ΔH_f (0 K)   0.18 eV/atom

POSCAR file:
```
Sc3Ta
1.0
-1.965 1.696 -3.520
-3.654 0.600 2.329
1.386 3.987 1.147
Sc Ta
3 1
direct
0.000 0.000 0.500 Sc
0.000 0.500 0.000 Sc
0.500 0.000 0.000 Sc
0.500 0.500 0.500 Ta
```